! SiIrOF2, relaxed, DFT PBE; values from VASP
! **Uncorrected formation energy**: -433 meV/atom
! **SG**: P4/mmm
! **Polymorph energy (0 for the lowest one)**: 0.000 eV/atom
&SYSTEM
  ibrav = 0, nat = 5, ntyp = 4
/
ATOMIC_SPECIES
O 16.00 O.upf
Si 28.09 Si.upf
F 19.00 F.upf
Ir 192.22 Ir.upf
CELL_PARAMETERS angstrom
4.359 0.000 0.000
0.000 4.359 0.000
0.000 0.000 3.244
ATOMIC_POSITIONS angstrom
O 0.000 0.000 1.622
Si 0.000 0.000 0.000
F 2.180 0.000 0.000
F 0.000 2.180 0.000
Ir 2.180 2.180 1.622

! Rb3SmBi2O6, relaxed, DFT PBE; values from VASP
! **Uncorrected formation energy**: -1722 meV/atom
! **SG**: C2/m
&SYSTEM
  ibrav = 0, nat = 12, ntyp = 4
/
ATOMIC_SPECIES
O 16.00 O.upf
Rb 85.47 Rb.upf
Bi 208.98 Bi.upf
Sm 150.36 Sm.upf
CELL_PARAMETERS angstrom
-5.879 0.069 -2.276
4.476 -3.337 -2.930
-1.026 -4.162 5.433
ATOMIC_POSITIONS angstrom
O -1.226 -3.188 -2.818
O -3.608 -5.362 0.490
O 1.178 -2.068 -0.263
O -0.236 -6.471 0.277
O -1.203 -4.242 3.045
O -2.193 -0.959 -0.050
Rb -1.215 -3.715 0.113
Rb 2.212 -4.842 -0.103
Rb -4.641 -2.588 0.330
Bi -2.426 -1.067 -2.494
Bi 1.022 -2.201 -2.712
Sm 0.000 0.000 0.000

! Cr4Rh, relaxed, DFT PBE; values from VASP
! **Formation energy**: 0.639 eV per atom
! **SG**: I4/mmm
! **Polymorph energy (0 for the lowest one)**: 0.000 eV/atom
&SYSTEM
  ibrav = 0, nat = 5, ntyp = 2
/
ATOMIC_SPECIES
Cr 52.00 Cr.upf
Rh 102.91 Rh.upf
CELL_PARAMETERS angstrom
-1.836 1.836 4.929
1.836 -1.836 4.929
1.836 1.836 -4.929
ATOMIC_POSITIONS angstrom
Cr 1.836 0.000 2.465
Cr 0.000 0.000 6.041
Cr 0.000 1.836 2.465
Cr 0.000 0.000 3.817
Rh 0.000 0.000 0.000

! Y2CdIn, relaxed, DFT PBE; values from VASP
! **Formation energy**: -0.354 eV per atom
! **SG**: Imm2
&SYSTEM
  ibrav = 0, nat = 4, ntyp = 3
/
ATOMIC_SPECIES
Cd 112.41 Cd.upf
Y 88.91 Y.upf
In 114.82 In.upf
CELL_PARAMETERS angstrom
6.395 0.040 0.056
5.286 3.599 0.056
2.068 0.644 4.729
ATOMIC_POSITIONS angstrom
Cd 6.717 2.093 2.494
Y 3.330 1.037 1.263
Y 2.117 0.659 4.705
In 10.528 3.280 3.529

! Nd2OsN4, relaxed, DFT PBE; values from VASP
! **Uncorrected formation energy**: -600 meV/atom
! **SG**: P2_1/m
&SYSTEM
  ibrav = 0, nat = 14, ntyp = 3
/
ATOMIC_SPECIES
Nd 144.24 Nd.upf
N 14.01 N.upf
Os 190.23 Os.upf
CELL_PARAMETERS angstrom
6.069 0.000 0.177
0.000 5.678 0.000
-2.033 0.000 6.475
ATOMIC_POSITIONS angstrom
Nd 4.110 4.259 0.373
Nd 3.323 4.259 3.723
Nd -0.074 1.420 6.279
Nd 0.713 1.420 2.929
N -0.468 4.259 2.370
N 2.400 5.538 1.725
N 2.400 2.979 1.725
N 1.637 2.699 4.927
N -1.443 4.259 6.016
N 5.480 1.420 0.636
N 4.504 1.420 4.282
N 1.637 0.140 4.927
Os 0.968 4.259 1.279
Os 3.068 1.420 5.373

! CsHfGa2Cl8, relaxed, DFT PBE; values from VASP
! **Uncorrected formation energy**: -1450 meV/atom
! **SG**: P-1
&SYSTEM
  ibrav = 0, nat = 12, ntyp = 4
/
ATOMIC_SPECIES
Cl 35.45 Cl.upf
Ga 69.72 Ga.upf
Cs 132.91 Cs.upf
Hf 178.49 Hf.upf
CELL_PARAMETERS angstrom
7.973 0.456 0.415
0.443 6.727 2.931
0.449 4.008 9.144
ATOMIC_POSITIONS angstrom
Cl 3.775 6.941 6.873
Cl 7.063 5.293 2.576
Cl 7.091 5.942 8.120
Cl 2.103 3.559 7.355
Cl 1.801 5.899 9.914
Cl 6.761 7.632 5.136
Cl 5.089 4.250 5.617
Cl 1.773 5.250 4.370
Ga 4.432 6.389 4.517
Ga 4.433 4.803 7.973
Cs 0.224 2.004 4.572
Hf 0.000 0.000 0.000

| no. | raw total energy (eV/atom) |
| --- | --- |
| 1 | -5.030 |
| 2 | -5.483 |
| 3 | -8.529 |
| 4 | -4.499 |
| 5 | -8.324 |
| 6 | -4.086 |